SmY5 | GGA-PBE | relaxed

E_form: 0.11 eV per atom
total moment: 0.00 μB per formula unit

abc: 9.4600 9.4600 3.7871
angles: 90.00 90.00 144.37
Sites, in units of the cell vectors:
Sm1 0.0000 0.0000 0.0000
Y1 0.1805 0.8195 0.5000
Y2 0.3455 0.6545 0.0000
Y3 0.5000 0.5000 0.5000
Y4 0.6545 0.3455 0.0000
Y5 0.8195 0.1805 0.5000